8
Lattice="6.143 0.000 0.000 0.000 3.565 0.000 -2.045 0.000 5.891" Properties=species:S:1:pos:R:3 comment="YTh2PaN4 | Alexandria | PBE | relaxed" formation_energy_uncorrected_kj_per_mol_atoms=-155.7 magmom_total_mub_per_fu=0.000 space_group="P2/m, No. 10" total_energy_ev_per_atom=-9.63 pbc="T T T"
Y 0.000 0.000 0.000
Th -1.022 1.783 2.946
Th 2.049 0.000 2.946
Pa 3.072 1.783 0.000
N 1.097 1.783 1.360
N 0.042 0.000 4.574
N 4.056 0.000 1.317
N 3.001 1.783 4.531

16
Lattice="4.239 0.000 0.000 0.000 4.239 0.000 0.000 0.000 23.797" Properties=species:S:1:pos:R:3 comment="K2TlRu | Alexandria | PBE | relaxed" magmom_total_mub_per_fu=0.796 de_polymorph_mev_per_atom=432 formation_energy_ev_per_atom=0.89 space_group="I-42d, No. 122" total_energy_ev_per_atom=-2.57 pbc="T T T"
K 1.032 1.060 2.975
K 1.060 3.151 8.924
K 1.060 3.207 20.822
K 1.087 1.060 14.873
K 3.151 3.179 14.873
K 3.179 1.032 20.822
K 3.179 1.087 8.924
K 3.207 3.179 2.975
Tl 0.000 0.000 11.898
Tl 0.000 2.119 17.848
Tl 2.119 0.000 5.949
Tl 2.119 2.119 0.000
Ru 0.000 0.000 0.000
Ru 0.000 2.119 5.949
Ru 2.119 0.000 17.848
Ru 2.119 2.119 11.898

11
Lattice="8.772 -3.419 0.000 8.772 3.419 0.000 -0.984 0.000 6.719" Properties=species:S:1:pos:R:3 comment="Ca2Pm5Nd4 | Alexandria | PBE | relaxed" magmom_total_mub_per_fu=0.000 formation_energy_ev_per_atom=0.17 space_group="C2/m, No. 12" total_energy_ev_per_atom=-4.09 pbc="T T T"
Ca 3.182 0.000 2.279
Ca 13.378 0.000 4.440
Pm -0.492 0.000 3.360
Pm 7.166 1.659 0.657
Pm 9.394 1.659 6.062
Pm 7.166 -1.659 0.657
Pm 9.394 -1.659 6.062
Nd 3.577 0.000 5.746
Nd 6.697 0.000 4.059
Nd 9.863 0.000 2.661
Nd 12.983 0.000 0.973

8
Lattice="3.170 0.000 0.000 0.000 4.325 0.000 0.000 0.000 8.317" Properties=species:S:1:pos:R:3 comment="TaAlCr2 | Alexandria | PBE | relaxed" magmom_total_mub_per_fu=0.000 formation_energy_ev_per_atom=0.06 space_group="Immm, No. 71" total_energy_ev_per_atom=-8.65 pbc="T T T"
Ta 0.000 0.000 0.000
Ta 1.585 2.162 4.159
Al 0.000 0.000 4.159
Al 1.585 2.162 0.000
Cr 0.000 2.162 2.140
Cr 0.000 2.162 6.177
Cr 1.585 0.000 2.018
Cr 1.585 0.000 6.299

5
Lattice="5.786 0.000 0.000 0.000 5.786 0.000 0.000 0.000 3.445" Properties=species:S:1:pos:R:3 comment="Sn2GeHBr | Alexandria | PBE | relaxed" magmom_total_mub_per_fu=0.000 space_group="P4/mmm, No. 123" total_energy_ev_per_atom=-3.41 pbc="T T T"
Sn 0.000 2.893 0.000
Sn 2.893 0.000 0.000
Ge 0.000 0.000 0.000
H 0.000 0.000 1.723
Br 2.893 2.893 1.723

24
Lattice="5.744 0.000 0.000 0.000 12.266 0.000 -0.001 0.000 8.059" Properties=species:S:1:pos:R:3 comment="PrTh2S3 | Alexandria | PBE | relaxed" formation_energy_uncorrected_kj_per_mol_atoms=-182.8 magmom_total_mub_per_fu=0.000 space_group="P2_1/c, No. 14" total_energy_ev_per_atom=-7.23 pbc="T T T"
Pr 1.434 0.981 1.016
Pr 1.434 5.152 5.045
Pr 4.309 7.114 3.014
Pr 4.309 11.285 7.043
Th 1.433 1.020 5.025
Th 1.433 5.113 0.995
Th 1.441 9.176 5.033
Th 1.441 9.223 1.004
Th 4.302 3.043 7.055
Th 4.302 3.090 3.025
Th 4.310 7.153 7.064
Th 4.310 11.245 3.034
S 1.430 3.054 7.049
S 1.430 3.079 3.020
S 1.438 7.170 2.989
S 1.438 7.175 7.075
S 1.438 11.224 3.045
S 1.437 11.228 7.018
S 4.306 1.037 1.041
S 4.305 1.042 5.014
S 4.305 5.091 0.984
S 4.305 5.095 5.070
S 4.313 9.187 5.039
S 4.313 9.212 1.010

12
Lattice="6.094 -3.004 0.000 6.094 3.004 0.000 -6.072 0.000 11.524" Properties=species:S:1:pos:R:3 comment="La4Tb7Sm | Alexandria | PBE | relaxed" magmom_total_mub_per_fu=0.001 formation_energy_ev_per_atom=0.24 space_group="C2/m, No. 12" total_energy_ev_per_atom=-4.49 pbc="T T T"
La -1.359 0.000 3.860
La 3.014 0.000 2.564
La 3.102 0.000 8.959
La 7.474 0.000 7.664
Tb 0.000 0.000 0.000
Tb -3.018 0.000 10.645
Tb -1.032 0.000 7.929
Tb 1.405 0.000 5.704
Tb 4.710 0.000 5.819
Tb 7.148 0.000 3.595
Tb 9.133 0.000 0.879
Sm 6.094 0.000 0.000

10
Lattice="8.837 -2.593 0.000 8.837 2.593 0.000 -2.340 0.000 6.272" Properties=species:S:1:pos:R:3 comment="Na5Tl4In | Alexandria | PBE | relaxed" magmom_total_mub_per_fu=0.000 de_polymorph_mev_per_atom=0 formation_energy_ev_per_atom=-0.11 space_group="C2/m, No. 12" total_energy_ev_per_atom=-1.99 pbc="T T T"
Na 0.000 0.000 0.000
Na 3.443 0.000 0.729
Na 5.317 0.000 4.239
Na 10.017 0.000 2.033
Na 11.892 0.000 5.544
Tl 1.926 0.000 3.813
Tl 6.820 0.000 1.250
Tl 8.515 0.000 5.022
Tl 13.409 0.000 2.459
In -1.170 0.000 3.136

20
Lattice="9.973 0.000 0.000 0.000 7.795 0.000 -1.574 0.000 11.017" Properties=species:S:1:pos:R:3 comment="CsSrBr3 | Alexandria | PBE | relaxed" formation_energy_uncorrected_kj_per_mol_atoms=-193.0 magmom_total_mub_per_fu=0.050 space_group="P2_1/c, No. 14" total_energy_ev_per_atom=-3.51 pbc="T T T"
Cs 0.858 1.672 1.868
Cs 0.071 2.226 7.376
Cs 8.329 5.569 3.641
Cs 7.542 6.123 9.149
Sr 3.183 5.790 6.312
Sr 3.970 5.902 0.803
Sr 4.430 1.892 10.214
Sr 5.217 2.005 4.705
Br 1.038 5.340 1.153
Br 0.251 6.352 6.662
Br 1.633 0.644 10.327
Br 2.419 3.254 4.818
Br 2.956 4.408 9.127
Br 3.743 7.284 3.618
Br 4.657 0.511 7.399
Br 5.444 3.386 1.890
Br 5.980 4.541 6.199
Br 6.767 7.151 0.691
Br 8.149 1.443 4.356
Br 7.362 2.455 9.864

12
Lattice="3.325 0.000 0.000 -1.663 2.880 0.000 0.000 0.000 27.311" Properties=species:S:1:pos:R:3 comment="ScTl2Fe | Alexandria | PBE | relaxed" magmom_total_mub_per_fu=2.544 de_polymorph_mev_per_atom=124 formation_energy_ev_per_atom=0.30 space_group="R-3m, No. 166" total_energy_ev_per_atom=-4.58 pbc="T T T"
Sc 0.000 0.000 0.000
Sc 0.000 1.920 18.208
Sc 1.663 0.960 9.104
Tl 0.000 0.000 6.647
Tl 0.000 0.000 20.665
Tl 0.000 1.920 11.561
Tl 0.000 1.920 24.854
Tl 1.663 0.960 2.457
Tl 1.663 0.960 15.750
Fe 0.000 0.000 13.656
Fe 0.000 1.920 4.552
Fe 1.663 0.960 22.759

13
Lattice="3.610 2.084 9.161 -3.610 2.084 9.161 0.000 -4.169 9.161" Properties=species:S:1:pos:R:3 comment="Tb8YTm4 | Alexandria | PBE | relaxed" magmom_total_mub_per_fu=0.000 formation_energy_ev_per_atom=0.22 space_group="R-3m, No. 166" total_energy_ev_per_atom=-4.50 pbc="T T T"
Tb -1.991 -1.150 15.597
Tb 0.000 0.000 5.920
Tb 0.000 -2.300 11.887
Tb -1.991 1.150 11.887
Tb 1.991 -1.150 15.597
Tb 0.000 2.300 15.597
Tb 0.000 0.000 21.564
Tb 1.991 1.150 11.887
Y 0.000 0.000 13.742
Tm 0.000 0.000 0.000
Tm -1.805 -1.042 9.161
Tm -1.805 1.042 18.322
Tm 0.000 2.084 9.161

12
Lattice="4.852 0.000 0.000 -2.426 4.202 0.000 0.000 0.000 15.523" Properties=species:S:1:pos:R:3 comment="GdScSn2 | Alexandria | PBE | relaxed" magmom_total_mub_per_fu=7.127 de_polymorph_mev_per_atom=15 formation_energy_ev_per_atom=-0.58 space_group="R-3m, No. 166" total_energy_ev_per_atom=-7.69 pbc="T T T"
Gd 0.000 0.000 0.000
Gd 0.000 2.802 10.349
Gd 2.426 1.401 5.174
Sc 0.000 0.000 7.761
Sc 0.000 2.802 2.587
Sc 2.426 1.401 12.936
Sn 0.000 0.000 3.738
Sn 0.000 0.000 11.784
Sn 0.000 2.802 6.610
Sn 0.000 2.802 14.087
Sn 2.426 1.401 1.436
Sn 2.426 1.401 8.913

18
Lattice="5.601 0.000 0.000 -2.800 4.850 0.000 0.000 0.000 11.075" Properties=species:S:1:pos:R:3 comment="ZrCoRu | Alexandria | PBE | relaxed" magmom_total_mub_per_fu=0.787 de_polymorph_mev_per_atom=541 formation_energy_ev_per_atom=0.41 space_group="P6_222, No. 180" total_energy_ev_per_atom=-7.90 pbc="T T T"
Zr -1.400 2.425 4.251
Zr -1.400 2.425 10.516
Zr 2.800 0.000 3.132
Zr 2.800 0.000 7.943
Zr 1.400 2.425 0.560
Zr 1.400 2.425 6.824
Co -0.489 2.951 1.846
Co 0.489 2.951 9.229
Co 0.000 3.799 5.538
Co 2.800 1.052 5.538
Co 2.311 1.899 9.229
Co 3.290 1.899 1.846
Ru 0.000 0.000 1.846
Ru 0.000 0.000 5.538
Ru 0.000 0.000 9.229
Ru -1.400 2.425 7.383
Ru 2.800 0.000 0.000
Ru 1.400 2.425 3.692

8
Lattice="7.490 0.000 0.000 0.000 4.307 0.000 -2.478 0.000 7.075" Properties=species:S:1:pos:R:3 comment="AcLa2PuSe4 | Alexandria | PBE | relaxed" formation_energy_uncorrected_kj_per_mol_atoms=-177.3 magmom_total_mub_per_fu=5.951 space_group="P2/m, No. 10" total_energy_ev_per_atom=-7.12 pbc="T T T"
Ac 0.000 0.000 0.000
La 2.506 0.000 3.538
La 3.745 2.153 0.000
Pu -1.239 2.153 3.538
Se 0.005 0.000 5.227
Se 1.246 2.153 1.844
Se 3.766 2.153 5.231
Se 5.007 0.000 1.849

4
Lattice="4.348 0.000 0.000 0.000 4.348 0.000 0.000 0.000 4.018" Properties=species:S:1:pos:R:3 comment="Sc2AlGe | Alexandria | PBE | relaxed" magmom_total_mub_per_fu=0.001 formation_energy_ev_per_atom=-0.52 space_group="P4/mmm, No. 123" total_energy_ev_per_atom=-5.78 pbc="T T T"
Sc 0.000 2.174 0.000
Sc 2.174 0.000 0.000
Al 0.000 0.000 2.009
Ge 2.174 2.174 2.009

8
Lattice="6.019 0.000 0.000 0.000 9.594 0.000 0.000 0.000 4.352" Properties=species:S:1:pos:R:3 comment="BaRhPb2 | Alexandria | PBE | relaxed" magmom_total_mub_per_fu=0.000 formation_energy_ev_per_atom=-0.28 space_group="Cmmm, No. 65" total_energy_ev_per_atom=-4.46 pbc="T T T"
Ba 0.000 0.000 0.000
Ba 3.010 4.797 0.000
Rh 0.000 4.797 0.000
Rh 3.010 0.000 0.000
Pb 0.000 3.105 2.176
Pb 0.000 6.489 2.176
Pb 3.010 1.692 2.176
Pb 3.010 7.901 2.176

11
Lattice="7.730 -3.306 0.000 7.730 3.306 0.000 -5.318 0.000 8.202" Properties=species:S:1:pos:R:3 comment="K2PaTe6Au2 | Alexandria | PBE | relaxed" formation_energy_uncorrected_kj_per_mol_atoms=-48.5 magmom_total_mub_per_fu=0.000 space_group="C2/m, No. 12" total_energy_ev_per_atom=-3.88 pbc="T T T"
K 1.954 0.000 1.776
K 8.187 0.000 6.426
Pa -2.659 0.000 4.101
Te 5.584 1.658 1.561
Te 0.118 0.000 4.919
Te 4.557 1.658 6.641
Te 5.584 -1.658 1.561
Te 10.023 0.000 3.282
Te 4.557 -1.658 6.641
Au 2.554 0.000 5.850
Au 7.587 0.000 2.352

7
Lattice="2.599 1.500 8.509 -2.599 1.500 8.509 0.000 -3.001 8.509" Properties=species:S:1:pos:R:3 comment="Nd4Ag2Pt | Alexandria | PBE | relaxed" magmom_total_mub_per_fu=0.000 formation_energy_ev_per_atom=-0.36 space_group="R-3m, No. 166" total_energy_ev_per_atom=-4.76 pbc="T T T"
Nd 0.000 0.000 3.103
Nd 0.000 0.000 9.497
Nd 0.000 0.000 16.029
Nd 0.000 0.000 22.422
Ag 0.000 0.000 6.238
Ag 0.000 0.000 19.288
Pt 0.000 0.000 0.000

5
Lattice="3.844 0.000 0.000 0.000 3.844 0.000 0.000 0.000 4.273" Properties=species:S:1:pos:R:3 comment="MnPHPd2 | Alexandria | PBE | relaxed" magmom_total_mub_per_fu=3.989 de_polymorph_mev_per_atom=124 space_group="P4/mmm, No. 123" total_energy_ev_per_atom=-5.60 pbc="T T T"
Mn 0.000 0.000 0.000
P 1.922 1.922 0.000
H 1.922 1.922 2.137
Pd 0.000 1.922 2.137
Pd 1.922 0.000 2.137

14
Lattice="-2.250 5.715 6.512 2.250 -5.715 6.512 2.250 5.715 -6.512" Properties=species:S:1:pos:R:3 comment="K3Ga9Au2 | Alexandria | PBE | relaxed" magmom_total_mub_per_fu=0.000 formation_energy_ev_per_atom=-0.16 space_group="Immm, No. 71" total_energy_ev_per_atom=-2.81 pbc="T T T"
K 0.000 0.000 0.000
K 0.000 0.000 3.930
K 0.000 0.000 9.093
Ga 2.250 -1.940 2.388
Ga 2.250 -2.323 5.011
Ga 2.250 1.940 2.388
Ga 0.000 3.392 1.501
Ga 0.000 5.715 0.000
Ga 2.250 2.323 5.011
Ga 0.000 3.775 4.124
Ga 0.000 8.038 1.501
Ga 0.000 7.654 4.124
Au 2.250 3.135 0.000
Au 0.000 2.580 6.512

Fermi-level density of states? In order: 3.5; 5.4; 16.5; 6.5; 2.8; 15.0; 20.4; 4.7; 0.0; 13.3; 14.8; 8.4; 24.7; 12.0; 3.8; 4.8; 6.0; 8.8; 3.0; 4.3 states/eV/cell.